VASP calculation (PBE) on In2Pt2Au after structural relaxation.

Cell lengths 4.140, 4.140, 12.086 Å; angles 90.00, 90.00, 90.00 degrees
Space group I4/mmm (No. 139)
Symmetry-distinct sites (fractional):
In1 0.000 0.500 0.250 [4 per cell]
Pt1 0.000 0.000 0.106 [4 per cell]
Au1 0.000 0.000 0.500 [2 per cell]

Uncorrected energy (eV for the cell shown): -42.54
Spin magnetization (μB/f.u.): 0.000
Formation energy (eV/atom): -0.09
Crystal system: tetragonal

=====

VASP calculation (PBE) on AcDyPu2S4 after structural relaxation.

Cell lengths 7.005, 4.026, 7.020 Å; angles 90.00, 109.19, 90.00 degrees
Space group P2/m (No. 10)
Symmetry-distinct sites (fractional):
Ac1 0.000 0.000 0.000 [1 per cell]
Dy1 0.000 0.500 0.500 [1 per cell]
Pu1 0.500 0.000 0.500 [1 per cell]
Pu2 0.500 0.500 0.000 [1 per cell]
S1 0.254 0.000 0.738 [2 per cell]
S2 0.265 0.500 0.269 [2 per cell]

Uncorrected energy (eV for the cell shown): -68.74
Spin magnetization (μB/f.u.): 11.475
E_form (uncorrected) (eV/atom): -1.8565
Crystal system: monoclinic

=====

VASP calculation (PBE) on RbTiGa after structural relaxation.

Cell lengths 12.226, 3.214, 9.620 Å; angles 90.00, 90.00, 90.00 degrees
Space group Pnma (No. 62)
Symmetry-distinct sites (fractional):
Rb1 0.164 0.250 0.074 [4 per cell]
Ti1 0.063 0.250 0.431 [4 per cell]
Ga1 0.084 0.250 0.711 [4 per cell]

Uncorrected energy (eV for the cell shown): -42.53
Spin magnetization (μB/f.u.): 1.034
Formation energy (eV/atom): 0.42
Crystal system: orthorhombic

=====

VASP calculation (PBE) on La8Tb5Pm after structural relaxation.

Cell lengths 9.801, 9.801, 10.480 Å; angles 90.00, 90.00, 90.00 degrees
Space group I-4 (No. 82)
Symmetry-distinct sites (fractional):
La1 0.069 0.171 0.347 [8 per cell]
La2 0.085 0.315 0.003 [8 per cell]
Tb1 0.000 0.500 0.250 [2 per cell]
Tb2 0.106 0.298 0.678 [8 per cell]
Pm1 0.000 0.000 0.000 [2 per cell]

Uncorrected energy (eV for the cell shown): -128.24
Spin magnetization (μB/f.u.): 0.000
Formation energy (eV/atom): 0.23
Crystal system: tetragonal

=====

VASP calculation (PBE) on Rb5Se2S12 after structural relaxation.

Cell lengths 8.892, 9.182, 10.032 Å; angles 62.80, 68.57, 88.08 degrees
Space group P-1 (No. 2)
Symmetry-distinct sites (fractional):
Rb1 0.000 0.000 0.000 [1 per cell]
Rb2 0.072 0.558 0.718 [2 per cell]
Rb3 0.342 0.175 0.350 [2 per cell]
Se1 0.408 0.666 0.244 [2 per cell]
S1 0.004 0.241 0.628 [2 per cell]
S2 0.239 0.844 0.293 [2 per cell]
S3 0.248 0.845 0.760 [2 per cell]
S4 0.275 0.437 0.982 [2 per cell]
S5 0.290 0.670 0.957 [2 per cell]
S6 0.402 0.461 0.480 [2 per cell]

Uncorrected energy (eV for the cell shown): -70.77
Spin magnetization (μB/f.u.): 0.950
E_form (uncorrected) (eV/atom): -0.4967
Crystal system: triclinic

=====

VASP calculation (PBE) on HfZnTe2 after structural relaxation.

Cell lengths 3.9367, 3.9367, 31.3564 Å; angles 90.00, 90.00, 120.00 degrees
Space group R-3m (No. 166, hexagonal axes)
Symmetry-distinct sites (fractional):
Hf1 0.0000 0.0000 0.0000 [3 per cell]
Zn1 0.0000 0.0000 0.5000 [3 per cell]
Te1 0.0000 0.0000 0.3902 [6 per cell]

Uncorrected energy (eV for the cell shown): -57.15
Spin magnetization (μB/f.u.): 0.000
E_form (uncorrected) (eV/atom): -0.3850
Crystal system: trigonal

=====

VASP calculation (PBE) on Ac2Cd6Ag after structural relaxation.

Cell lengths 6.5338, 6.5338, 6.5247 Å; angles 90.00, 90.00, 120.00 degrees
Space group P-3m1 (No. 164)
Symmetry-distinct sites (fractional):
Ac1 0.3333 0.6667 0.3470 [2 per cell]
Cd1 0.1751 0.3501 0.8293 [6 per cell]
Ag1 0.0000 0.0000 0.5000 [1 per cell]

Uncorrected energy (eV for the cell shown): -18.78
Spin magnetization (μB/f.u.): 0.000
Formation energy (eV/atom): -0.25
Crystal system: trigonal

=====

VASP calculation (PBE) on Sm5Ag4Sn after structural relaxation.

Cell lengths 3.656, 3.656, 19.471 Å; angles 90.00, 90.00, 90.00 degrees
Space group P4/mmm (No. 123)
Symmetry-distinct sites (fractional):
Sm1 0.000 0.000 0.000 [1 per cell]
Sm2 0.000 0.000 0.195 [2 per cell]
Sm3 0.000 0.000 0.392 [2 per cell]
Ag1 0.500 0.500 0.099 [2 per cell]
Ag2 0.500 0.500 0.290 [2 per cell]
Sn1 0.500 0.500 0.500 [1 per cell]

Uncorrected energy (eV for the cell shown): -42.54
Spin magnetization (μB/f.u.): 0.000
Formation energy (eV/atom): -0.35
Crystal system: tetragonal

=====

VASP calculation (PBE) on MoRu8 after structural relaxation.

Cell lengths 8.157, 8.157, 3.830 Å; angles 90.00, 90.00, 90.00 degrees
Space group I4/mmm (No. 139)
Symmetry-distinct sites (fractional):
Mo1 0.000 0.000 0.000 [2 per cell]
Ru1 0.000 0.334 0.000 [8 per cell]
Ru2 0.169 0.169 0.500 [8 per cell]

Uncorrected energy (eV for the cell shown): -168.48
Spin magnetization (μB/f.u.): 0.000
Formation energy (eV/atom): 0.09
Crystal system: tetragonal

=====

VASP calculation (PBE) on Cs3ScAg2Br9 after structural relaxation.

Cell lengths 7.8247, 7.8247, 9.6922 Å; angles 90.00, 90.00, 120.00 degrees
Space group P-3m1 (No. 164)
Symmetry-distinct sites (fractional):
Cs1 0.0000 0.0000 0.0000 [1 per cell]
Cs2 0.3333 0.6667 0.6734 [2 per cell]
Sc1 0.0000 0.0000 0.5000 [1 per cell]
Ag1 0.3333 0.6667 0.1582 [2 per cell]
Br1 0.0000 0.5000 0.0000 [3 per cell]
Br2 0.1617 0.3233 0.3417 [6 per cell]

Uncorrected energy (eV for the cell shown): -48.98
Spin magnetization (μB/f.u.): 0.001
E_form (uncorrected) (eV/atom): -1.2887
Crystal system: trigonal

=====

VASP calculation (PBE) on SrHfSeN2 after structural relaxation.

Cell lengths 4.219, 4.219, 5.566 Å; angles 90.00, 90.00, 90.00 degrees
Space group P4/mmm (No. 123)
Symmetry-distinct sites (fractional):
Sr1 0.000 0.000 0.000 [1 per cell]
Hf1 0.500 0.500 0.500 [1 per cell]
Se1 0.000 0.000 0.500 [1 per cell]
N1 0.000 0.500 0.000 [2 per cell]

Uncorrected energy (eV for the cell shown): -25.17
Spin magnetization (μB/f.u.): 0.000
E_form (uncorrected) (eV/atom): 1.3202
Crystal system: tetragonal

=====

VASP calculation (PBE) on DySnAu4 after structural relaxation.

Cell lengths 7.970, 7.970, 7.970 Å; angles 90.00, 90.00, 90.00 degrees
Space group F-43m (No. 216)
Symmetry-distinct sites (fractional):
Dy1 0.000 0.000 0.000 [4 per cell]
Sn1 0.250 0.250 0.250 [4 per cell]
Au1 0.125 0.125 0.625 [16 per cell]

Uncorrected energy (eV for the cell shown): -96.08
Spin magnetization (μB/f.u.): 0.000
Formation energy (eV/atom): -0.38
Crystal system: cubic

=====

VASP calculation (PBE) on Rb2Tl4Hg3Bi after structural relaxation.

Cell lengths 5.313, 5.313, 12.876 Å; angles 90.00, 90.00, 90.00 degrees
Space group P-4m2 (No. 115)
Symmetry-distinct sites (fractional):
Rb1 0.000 0.500 0.246 [2 per cell]
Tl1 0.000 0.000 0.500 [1 per cell]
Tl2 0.000 0.500 0.864 [2 per cell]
Tl3 0.500 0.500 0.500 [1 per cell]
Hg1 0.000 0.000 0.000 [1 per cell]
Hg2 0.000 0.500 0.627 [2 per cell]
Bi1 0.500 0.500 0.000 [1 per cell]

Uncorrected energy (eV for the cell shown): -17.53
Spin magnetization (μB/f.u.): 0.000
Formation energy (eV/atom): -0.13
Crystal system: tetragonal

=====

VASP calculation (PBE) on Hf2CoH after structural relaxation.

Cell lengths 5.969, 5.969, 6.489 Å; angles 90.00, 90.00, 90.00 degrees
Space group I-42d (No. 122)
Symmetry-distinct sites (fractional):
Hf1 0.191 0.250 0.125 [8 per cell]
Co1 0.000 0.000 0.500 [4 per cell]
H1 0.000 0.000 0.000 [4 per cell]

Uncorrected energy (eV for the cell shown): -124.13
Spin magnetization (μB/f.u.): 0.000
Crystal system: tetragonal

=====

VASP calculation (PBE) on Sm2Dy2Ho15 after structural relaxation.

Cell lengths 11.1366, 11.1366, 17.5321 Å; angles 90.00, 90.00, 120.00 degrees
Space group R-3m (No. 166, hexagonal axes)
Symmetry-distinct sites (fractional):
Sm1 0.0000 0.0000 0.1748 [6 per cell]
Dy1 0.0000 0.0000 0.4035 [6 per cell]
Ho1 0.0000 0.2986 0.5000 [18 per cell]
Ho2 0.0000 0.5000 0.0000 [9 per cell]
Ho3 0.0118 0.5059 0.6367 [18 per cell]

Uncorrected energy (eV for the cell shown): -245.70
Spin magnetization (μB/f.u.): 0.000
Formation energy (eV/atom): 0.28
Crystal system: trigonal

=====

VASP calculation (PBE) on SrCoCl2 after structural relaxation.

Cell lengths 10.725, 3.833, 4.889 Å; angles 90.00, 95.41, 90.00 degrees
Space group Cm (No. 8)
Symmetry-distinct sites (fractional):
Sr1 0.000 0.000 0.000 [2 per cell]
Co1 0.198 0.500 0.778 [2 per cell]
Cl1 0.024 0.500 0.485 [2 per cell]
Cl2 0.279 0.000 0.935 [2 per cell]

Uncorrected energy (eV for the cell shown): -32.36
Spin magnetization (μB/f.u.): 1.000
E_form (uncorrected) (eV/atom): -0.9253
Crystal system: monoclinic

=====

VASP calculation (PBE) on CuS2O after structural relaxation.

Cell lengths 4.377, 5.689, 6.428 Å; angles 91.59, 97.55, 105.71 degrees
Space group P1 (No. 1)
Symmetry-distinct sites (fractional):
Cu1 0.000 0.000 0.000 [1 per cell]
Cu2 0.491 0.138 0.807 [1 per cell]
S1 0.069 0.835 0.691 [1 per cell]
S2 0.188 0.505 0.740 [1 per cell]
S3 0.416 0.954 0.262 [1 per cell]
S4 0.926 0.380 0.982 [1 per cell]
O1 0.566 0.199 0.366 [1 per cell]
O2 0.646 0.834 0.181 [1 per cell]

Uncorrected energy (eV for the cell shown): -37.27
Spin magnetization (μB/f.u.): 0.000
E_form (uncorrected) (eV/atom): -0.3317
Crystal system: triclinic

=====

VASP calculation (PBE) on CaLaMgAl after structural relaxation.

Cell lengths 7.690, 7.690, 7.690 Å; angles 90.00, 90.00, 90.00 degrees
Space group F-43m (No. 216)
Symmetry-distinct sites (fractional):
Ca1 0.000 0.000 0.000 [4 per cell]
La1 0.000 0.000 0.500 [4 per cell]
Mg1 0.250 0.250 0.250 [4 per cell]
Al1 0.250 0.250 0.750 [4 per cell]

Uncorrected energy (eV for the cell shown): -52.64
Spin magnetization (μB/f.u.): 0.000
Formation energy (eV/atom): -0.22
Crystal system: cubic